## w
DFT (PBE-GGA) results for an optimized crystal structure of NaLu2Ag.

abc: 11.6856 11.6856 11.6856
angles: 16.67 16.67 16.67
Sites, in units of the cell vectors:
Na: 0.0000 0.0000 0.0000
Lu: 0.0991 0.0991 0.0991
Lu: 0.9009 0.9009 0.9009
Ag: 0.5000 0.5000 0.5000

Output
- D(E_F) (states/eV per atom) = 0.90

***

## x
DFT (PBE-GGA) results for an optimized crystal structure of NaLu2Ag.

abc: 3.4983 3.4983 9.2889
angles: 90.00 90.00 90.00
Sites, in units of the cell vectors:
Na: 0.0000 0.0000 0.0000
Lu: 0.5000 0.5000 0.3108
Lu: 0.5000 0.5000 0.6892
Ag: 0.0000 0.0000 0.5000

Output
- D(E_F) (states/eV per atom) = 0.76

***

The energetic minimum among the shown structures is x; the next structure lies 142 meV/atom above.